# 1
First-principles (PBE) data for an optimized crystal structure of LiZn2Rh, as listed in the Alexandria database.

Calculated values
The distance to the lowest polymorph of the same formula is 214 meV per atom. The density comes out at 6.8 g/cm3. The crystal system is trigonal. The value obtained for the formation energy is -0.20 eV per atom. The uncorrected energy is -3.15 eV/atom. The space-group type is R-3m, No. 166.

Lattice parameters (Å, degrees): 8.841 8.841 8.841 18.14 18.14 18.14
Element x y z (fractional)
Li 0.000 0.000 0.000
Zn 0.247 0.247 0.247
Zn 0.753 0.753 0.753
Rh 0.500 0.500 0.500

***

# 2
First-principles (PBE) data for an optimized crystal structure of Ga2Fe4Co, as listed in the Alexandria database.

Calculated values
The density comes out at 8.3 g/cm3. The crystal system is trigonal. The value obtained for the formation energy is -0.13 eV per atom. The uncorrected energy is -6.85 eV/atom. The space-group type is R-3m, No. 166.

Lattice parameters (Å, degrees): 6.336 6.336 6.336 37.35 37.35 37.35
Element x y z (fractional)
Ga 0.218 0.218 0.218
Ga 0.782 0.782 0.782
Fe 0.067 0.067 0.067
Fe 0.361 0.361 0.361
Fe 0.639 0.639 0.639
Fe 0.933 0.933 0.933
Co 0.500 0.500 0.500

***

# 3
First-principles (PBE) data for an optimized crystal structure of Nd6BiSe2S3, as listed in the Alexandria database.

Calculated values
The density comes out at 6.9 g/cm3. The crystal system is monoclinic. The uncorrected energy is -6.08 eV/atom. For the raw formation energy, the calculation gives -1759 meV per atom. The space-group type is C2/m, No. 12.

Lattice parameters (Å, degrees): 9.468 9.468 8.519 103.94 103.94 25.54
Element x y z (fractional)
Nd 0.004 0.004 0.226
Nd 0.325 0.325 0.430
Nd 0.338 0.338 0.906
Nd 0.662 0.662 0.094
Nd 0.675 0.675 0.570
Nd 0.996 0.996 0.774
Bi 0.500 0.500 0.500
Se 0.169 0.169 0.834
Se 0.831 0.831 0.166
S 0.165 0.165 0.328
S 0.500 0.500 0.000
S 0.835 0.835 0.672

***

# 4
First-principles (PBE) data for an optimized crystal structure of CeDy2Hg, as listed in the Alexandria database.

Calculated values
The distance to the lowest polymorph of the same formula is 95 meV per atom. The density comes out at 9.3 g/cm3. The crystal system is trigonal. The value obtained for the formation energy is -0.10 eV per atom. The uncorrected energy is -3.96 eV/atom. The space-group type is R3m, No. 160.

Lattice parameters (Å, degrees): 10.818 10.818 10.818 19.08 19.08 19.08
Element x y z (fractional)
Ce 0.000 0.000 0.000
Dy 0.242 0.242 0.242
Dy 0.424 0.424 0.424
Hg 0.833 0.833 0.833